An optimized crystal structure of LaEuTm, computed with GGA-PBE.

CIF file:
```
data_LaEuTm
_cell_length_a 3.730
_cell_length_b 3.730
_cell_length_c 15.473
_cell_angle_alpha 90.00
_cell_angle_beta 90.00
_cell_angle_gamma 90.00
_symmetry_space_group_name_H-M 'I 4 m m'
_symmetry_Int_Tables_number 107
_symmetry_space_group_name_Hall 'I 4 -2'
loop_
_atom_site_label
_atom_site_fract_x
_atom_site_fract_y
_atom_site_fract_z
La1 0.000 0.000 0.000
Eu1 0.000 0.000 0.320
Tm1 0.000 0.000 0.652
```

Calculated volume ... 35.87 Å³/atom
E_form ... 0.06 eV/atom
Total magnetization ... 2.41 μB per atom
Energy above the lowest structure with this stoichiometry ... 0.009 eV per formula unit

***

An optimized crystal structure of La2EuTm, computed with GGA-PBE.

CIF file:
```
data_La2EuTm
_cell_length_a 5.281
_cell_length_b 5.281
_cell_length_c 5.118
_cell_angle_alpha 90.00
_cell_angle_beta 90.00
_cell_angle_gamma 90.00
_symmetry_space_group_name_H-M 'P 4/m m m'
_symmetry_Int_Tables_number 123
_symmetry_space_group_name_Hall '-P 4 2'
loop_
_atom_site_label
_atom_site_fract_x
_atom_site_fract_y
_atom_site_fract_z
La1 0.000 0.500 0.000
Eu1 0.000 0.000 0.500
Tm1 0.500 0.500 0.500
```

Calculated volume ... 35.69 Å³/atom
E_form ... 0.08 eV/atom
Total magnetization ... 1.85 μB per atom
Energy above the lowest structure with this stoichiometry ... 0.000 eV per formula unit

***

An optimized crystal structure of LaEuYTm, computed with GGA-PBE.

CIF file:
```
data_LaEuYTm
_cell_length_a 8.239
_cell_length_b 8.239
_cell_length_c 8.239
_cell_angle_alpha 90.00
_cell_angle_beta 90.00
_cell_angle_gamma 90.00
_symmetry_space_group_name_H-M 'F -4 3 m'
_symmetry_Int_Tables_number 216
_symmetry_space_group_name_Hall 'F -4 2 3'
loop_
_atom_site_label
_atom_site_fract_x
_atom_site_fract_y
_atom_site_fract_z
La1 0.000 0.000 0.000
Eu1 0.250 0.250 0.750
Y1 0.000 0.000 0.500
Tm1 0.250 0.250 0.250
```

Calculated volume ... 34.95 Å³/atom
E_form ... 0.14 eV/atom
Total magnetization ... 1.95 μB per atom

***

An optimized crystal structure of La2EuV, computed with GGA-PBE.

CIF file:
```
data_La2EuV
_cell_length_a 7.893
_cell_length_b 7.893
_cell_length_c 7.893
_cell_angle_alpha 90.00
_cell_angle_beta 90.00
_cell_angle_gamma 90.00
_symmetry_space_group_name_H-M 'F m -3 m'
_symmetry_Int_Tables_number 225
_symmetry_space_group_name_Hall '-F 4 2 3'
loop_
_atom_site_label
_atom_site_fract_x
_atom_site_fract_y
_atom_site_fract_z
La1 0.250 0.250 0.250
Eu1 0.000 0.000 0.000
V1 0.000 0.000 0.500
```

Calculated volume ... 30.74 Å³/atom
E_form ... 0.36 eV/atom
Total magnetization ... 1.09 μB per atom

***

An optimized crystal structure of LaEuY2, computed with GGA-PBE.

CIF file:
```
data_LaEuY2
_cell_length_a 3.717
_cell_length_b 3.717
_cell_length_c 10.281
_cell_angle_alpha 90.00
_cell_angle_beta 90.00
_cell_angle_gamma 90.00
_symmetry_space_group_name_H-M 'P 4/m m m'
_symmetry_Int_Tables_number 123
_symmetry_space_group_name_Hall '-P 4 2'
loop_
_atom_site_label
_atom_site_fract_x
_atom_site_fract_y
_atom_site_fract_z
La1 0.000 0.000 0.000
Eu1 0.000 0.000 0.500
Y1 0.500 0.500 0.241
```

Calculated volume ... 35.51 Å³/atom
E_form ... 0.07 eV/atom
Total magnetization ... 1.94 μB per atom
Energy above the lowest structure with this stoichiometry ... 0.077 eV per formula unit

***

An optimized crystal structure of La2EuY, computed with GGA-PBE.

CIF file:
```
data_La2EuY
_cell_length_a 3.746
_cell_length_b 3.746
_cell_length_c 10.532
_cell_angle_alpha 90.00
_cell_angle_beta 90.00
_cell_angle_gamma 90.00
_symmetry_space_group_name_H-M 'P 4/m m m'
_symmetry_Int_Tables_number 123
_symmetry_space_group_name_Hall '-P 4 2'
loop_
_atom_site_label
_atom_site_fract_x
_atom_site_fract_y
_atom_site_fract_z
La1 0.000 0.000 0.237
Eu1 0.500 0.500 0.500
Y1 0.500 0.500 0.000
```

Calculated volume ... 36.95 Å³/atom
E_form ... 0.04 eV/atom
Total magnetization ... 1.80 μB per atom
Energy above the lowest structure with this stoichiometry ... 0.000 eV per formula unit

***

An optimized crystal structure of LaEuY, computed with GGA-PBE.

CIF file:
```
data_LaEuY
_cell_length_a 3.7189
_cell_length_b 3.7189
_cell_length_c 9.1467
_cell_angle_alpha 90.00
_cell_angle_beta 90.00
_cell_angle_gamma 120.00
_symmetry_space_group_name_H-M 'P 3 m 1'
_symmetry_Int_Tables_number 156
loop_
_symmetry_equiv_pos_as_xyz
'x,y,z'
'-y,x-y,z'
'-x+y,-x,z'
'-y,-x,z'
'-x+y,y,z'
'x,x-y,z'
loop_
_atom_site_label
_atom_site_fract_x
_atom_site_fract_y
_atom_site_fract_z
La1 0.0000 0.0000 0.0000
Eu1 0.6667 0.3333 0.3505
Y1 0.3333 0.6667 0.6847
```

Calculated volume ... 36.52 Å³/atom
E_form ... 0.04 eV/atom
Total magnetization ... 2.48 μB per atom
Energy above the lowest structure with this stoichiometry ... 0.000 eV per formula unit

***

An optimized crystal structure of LaEuY2, computed with GGA-PBE.

CIF file:
```
data_LaEuY2
_cell_length_a 5.209
_cell_length_b 5.209
_cell_length_c 5.191
_cell_angle_alpha 90.00
_cell_angle_beta 90.00
_cell_angle_gamma 90.00
_symmetry_space_group_name_H-M 'P 4/m m m'
_symmetry_Int_Tables_number 123
_symmetry_space_group_name_Hall '-P 4 2'
loop_
_atom_site_label
_atom_site_fract_x
_atom_site_fract_y
_atom_site_fract_z
La1 0.000 0.000 0.000
Eu1 0.500 0.500 0.000
Y1 0.000 0.500 0.500
```

Calculated volume ... 35.21 Å³/atom
E_form ... 0.09 eV/atom
Total magnetization ... 1.80 μB per atom
Energy above the lowest structure with this stoichiometry ... 0.175 eV per formula unit

***

An optimized crystal structure of LaEuY, computed with GGA-PBE.

CIF file:
```
data_LaEuY
_cell_length_a 3.747
_cell_length_b 3.747
_cell_length_c 15.708
_cell_angle_alpha 90.00
_cell_angle_beta 90.00
_cell_angle_gamma 90.00
_symmetry_space_group_name_H-M 'I 4 m m'
_symmetry_Int_Tables_number 107
_symmetry_space_group_name_Hall 'I 4 -2'
loop_
_atom_site_label
_atom_site_fract_x
_atom_site_fract_y
_atom_site_fract_z
La1 0.000 0.000 0.000
Eu1 0.000 0.000 0.676
Y1 0.000 0.000 0.346
```

Calculated volume ... 36.75 Å³/atom
E_form ... 0.05 eV/atom
Total magnetization ... 2.42 μB per atom
Energy above the lowest structure with this stoichiometry ... 0.018 eV per formula unit

***

An optimized crystal structure of LaEuY2, computed with GGA-PBE.

CIF file:
```
data_LaEuY2
_cell_length_a 3.6804
_cell_length_b 3.6804
_cell_length_c 35.9035
_cell_angle_alpha 90.00
_cell_angle_beta 90.00
_cell_angle_gamma 120.00
_symmetry_space_group_name_H-M 'R -3 m'
_symmetry_Int_Tables_number 166
_symmetry_space_group_name_Hall '-R 3 2"'
loop_
_atom_site_label
_atom_site_fract_x
_atom_site_fract_y
_atom_site_fract_z
La1 0.0000 0.0000 0.0000
Eu1 0.0000 0.0000 0.5000
Y1 0.0000 0.0000 0.2520
```

Calculated volume ... 35.10 Å³/atom
E_form ... 0.05 eV/atom
Total magnetization ... 1.94 μB per atom
Energy above the lowest structure with this stoichiometry ... 0.000 eV per formula unit

***

An optimized crystal structure of La2EuY, computed with GGA-PBE.

CIF file:
```
data_La2EuY
_cell_length_a 8.396
_cell_length_b 8.396
_cell_length_c 8.396
_cell_angle_alpha 90.00
_cell_angle_beta 90.00
_cell_angle_gamma 90.00
_symmetry_space_group_name_H-M 'F m -3 m'
_symmetry_Int_Tables_number 225
_symmetry_space_group_name_Hall '-F 4 2 3'
loop_
_atom_site_label
_atom_site_fract_x
_atom_site_fract_y
_atom_site_fract_z
La1 0.250 0.250 0.250
Eu1 0.000 0.000 0.000
Y1 0.000 0.000 0.500
```

Calculated volume ... 36.99 Å³/atom
E_form ... 0.11 eV/atom
Total magnetization ... 1.91 μB per atom
Energy above the lowest structure with this stoichiometry ... 0.274 eV per formula unit

***

An optimized crystal structure of La2EuY, computed with GGA-PBE.

CIF file:
```
data_La2EuY
_cell_length_a 5.305
_cell_length_b 5.305
_cell_length_c 5.178
_cell_angle_alpha 90.00
_cell_angle_beta 90.00
_cell_angle_gamma 90.00
_symmetry_space_group_name_H-M 'P 4/m m m'
_symmetry_Int_Tables_number 123
_symmetry_space_group_name_Hall '-P 4 2'
loop_
_atom_site_label
_atom_site_fract_x
_atom_site_fract_y
_atom_site_fract_z
La1 0.000 0.500 0.000
Eu1 0.000 0.000 0.500
Y1 0.500 0.500 0.500
```

Calculated volume ... 36.43 Å³/atom
E_form ... 0.07 eV/atom
Total magnetization ... 1.85 μB per atom
Energy above the lowest structure with this stoichiometry ... 0.141 eV per formula unit